The following is a DFT calculation (PBE) of a relaxed NdMg2CdHg4 crystal.

Unit cell a=9.4742 b=9.4742 c=9.4742 alpha=30.18 beta=30.18 gamma=30.18
Positions (direct):
Nd 0.0000 0.0000 0.0000
Mg 0.2447 0.2447 0.2447
Mg 0.7553 0.7553 0.7553
Cd 0.5000 0.5000 0.5000
Hg 0.1234 0.1234 0.1234
Hg 0.3841 0.3841 0.3841
Hg 0.6159 0.6159 0.6159
Hg 0.8766 0.8766 0.8766

Energy of formation from the pure elements (meV per atom): -271.4
V (A^3/atom): 23.81
SG: No. 166

***

The following is a DFT calculation (PBE) of a relaxed Y3ScO crystal.

Unit cell a=5.4266 b=5.4266 c=5.4266 alpha=90.00 beta=90.00 gamma=90.00
Positions (direct):
Y 0.0000 0.0000 0.5000
Y 0.0000 0.5000 0.0000
Y 0.5000 0.0000 0.0000
Sc 0.0000 0.0000 0.0000
O 0.5000 0.5000 0.5000

V (A^3/atom): 31.96
SG: No. 221
Formation energy from raw total energies (eV/atom): 1.00
E above lowest polymorph (meV/atom): 2116

***

no.,N(E_F) (states/eV/cell)
1,3.06
2,7.31